(1)
# KZr2Rh

A geometry-optimized KZr2Rh structure (PBEsol, Alexandria via LeMat-Bulk).

## Properties
The spin magnetization comes out at 0.000 μB/cell. Its space-group type is No. 12. Its excess energy over the best structure of this formula in the dataset is 0 meV/atom. Its density of states at the Fermi level is 4.7 states/eV per cell. Its energy of formation is 0.1607 eV per atom.

a b c (Å): 4.050 4.054 8.898
angles (deg): 102.96 90.00 119.97
Fractional coordinates of all 4 atoms:
Zr 0.209 0.418 0.129
Zr 0.791 0.582 0.871
K 0.000 0.000 0.500
Rh 0.500 0.000 0.000

=====

(2)
# Cr2CdPb

A geometry-optimized Cr2CdPb structure (PBEsol, Alexandria via LeMat-Bulk).

## Properties
The spin magnetization comes out at 8.711 μB/cell. Its space-group type is No. 216. Its density of states at the Fermi level is 2.7 states/eV per cell. Its energy of formation is 0.8681 eV per atom.

a b c (Å): 4.864 4.864 4.864
angles (deg): 60.00 60.00 60.00
Last column: magnetic moment on the atom in μB.
Fractional coordinates of all 4 atoms:
Cd 0.500 0.500 0.500  0.02
Pb 0.250 0.250 0.250  -0.02
Cr 0.750 0.750 0.750  3.87
Cr 0.000 0.000 0.000  3.80

=====

(3)
# ZrS3I

A geometry-optimized ZrS3I structure (PBEsol, Alexandria via LeMat-Bulk).

## Properties
The spin magnetization comes out at 0.001 μB/cell. Its space-group type is No. 221. The calculation puts the formation energy without anion corrections at -8.47 kcal/mol of atoms. Its density of states at the Fermi level is 5.5 states/eV per cell.

a b c (Å): 4.952 4.952 4.952
angles (deg): 90.00 90.00 90.00
Fractional coordinates of all 5 atoms:
S 0.500 0.000 0.000
S 0.000 0.500 0.000
S 0.000 0.000 0.500
Zr 0.000 0.000 0.000
I 0.500 0.500 0.500

=====

(4)
# BaTe2PF

A geometry-optimized BaTe2PF structure (PBEsol, Alexandria via LeMat-Bulk).

## Properties
The spin magnetization comes out at 0.001 μB/cell. Its space-group type is No. 123. The calculation puts the formation energy without anion corrections at -12.09 kcal/mol of atoms. Its density of states at the Fermi level is 3.1 states/eV per cell.

a b c (Å): 4.999 4.999 5.218
angles (deg): 90.00 90.00 90.00
Fractional coordinates of all 5 atoms:
Te 0.500 0.000 0.000
Te 0.000 0.500 0.000
F 0.000 0.000 0.000
P 0.500 0.500 0.500
Ba 0.000 0.000 0.500

=====

(5)
# MgZrSc2

A geometry-optimized MgZrSc2 structure (PBEsol, Alexandria via LeMat-Bulk).

## Properties
The spin magnetization comes out at 0.001 μB/cell. Its space-group type is No. 123. Its density of states at the Fermi level is 6.1 states/eV per cell. Its energy of formation is 0.0636 eV per atom.

a b c (Å): 4.452 4.487 4.487
angles (deg): 90.00 90.00 90.00
Fractional coordinates of all 4 atoms:
Zr 0.500 0.500 0.500
Sc 0.000 0.000 0.500
Sc 0.000 0.500 0.000
Mg 0.500 0.000 0.000

=====

(6)
# NaSmC2O6

A geometry-optimized NaSmC2O6 structure (PBEsol, Alexandria via LeMat-Bulk).

## Properties
The spin magnetization comes out at 0.000 μB/cell. Its space-group type is No. 26. The calculation puts the formation energy without anion corrections at -49.21 kcal/mol of atoms. Its density of states at the Fermi level is 0.0 states/eV per cell.

a b c (Å): 5.074 6.291 6.967
angles (deg): 90.00 90.00 90.00
Fractional coordinates of all 20 atoms:
O 0.000 0.145 0.406
O 0.000 0.855 0.906
O 0.225 0.121 0.036
O 0.715 0.485 0.282
O 0.775 0.121 0.036
O 0.285 0.485 0.282
O 0.500 0.229 0.664
O 0.500 0.771 0.164
O 0.715 0.515 0.782
O 0.225 0.879 0.536
O 0.775 0.879 0.536
O 0.285 0.515 0.782
Na 0.000 0.481 0.030
Na 0.000 0.519 0.530
C 0.500 0.416 0.744
C 0.000 0.967 0.497
C 0.500 0.584 0.244
C 0.000 0.033 0.997
Sm 0.500 0.867 0.827
Sm 0.500 0.133 0.327

=====

Question: Which value of spin magnetization does entry 6 give?
Answer: 0.000 μB/cell

=====

Copy entry 2 word for word.
# Cr2CdPb

A geometry-optimized Cr2CdPb structure (PBEsol, Alexandria via LeMat-Bulk).

## Properties
The spin magnetization comes out at 8.711 μB/cell. Its space-group type is No. 216. Its density of states at the Fermi level is 2.7 states/eV per cell. Its energy of formation is 0.8681 eV per atom.

a b c (Å): 4.864 4.864 4.864
angles (deg): 60.00 60.00 60.00
Last column: magnetic moment on the atom in μB.
Fractional coordinates of all 4 atoms:
Cd 0.500 0.500 0.500  0.02
Pb 0.250 0.250 0.250  -0.02
Cr 0.750 0.750 0.750  3.87
Cr 0.000 0.000 0.000  3.80

=====

Question: Which formula does entry 4 have?
Answer: BaTe2PF